Entry from the Alexandria database: a geometry-optimized YPuAsSe structure (PBE-GGA).

Cell: 4.140 4.140 7.139 Å, 73.14 73.14 60.00°
Each line ends with the local moment (μB).
Sites, in units of the cell vectors:
1 Pu 0.692 0.692 0.924  5.31
2 As 0.943 0.943 0.170  -0.07
3 Se 0.445 0.445 0.666  -0.05
4 Y 0.196 0.196 0.411  0.04

DOS(E_F) (states/eV/cell): 9.8
E (eV per atom): -8.7628
Formation energy without anion corrections (eV per atom): -1.530